Version w
Below is crystalline CuNi3B at its relaxed geometry, with properties calculated at the PBE level.

Computed properties:
* total moment: 0.927 μB per formula unit
* crystal system: cubic

Lattice parameters (Å, degrees): 4.2165 4.2165 4.2165 90.00 90.00 90.00
Fractional coordinates of all 5 atoms:
Cu 0.0000 0.0000 0.0000
Ni 0.0000 0.0000 0.5000
Ni 0.0000 0.5000 0.0000
Ni 0.5000 0.0000 0.0000
B 0.5000 0.5000 0.5000

Version x
Below is crystalline CuNi3B at its relaxed geometry, with properties calculated at the PBE level.

Computed properties:
* total moment: 0.000 μB per formula unit
* crystal system: tetragonal

Lattice parameters (Å, degrees): 7.1949 7.1949 7.1949 144.99 144.99 50.35
Fractional coordinates of all 10 atoms:
Cu 0.1953 0.1953 0.0000
Cu 0.8047 0.8047 0.0000
Ni 0.3745 0.1240 0.7495
Ni 0.3745 0.6249 0.2505
Ni 0.3751 0.6255 0.7495
Ni 0.5466 0.0466 0.5000
Ni 0.8760 0.6255 0.2505
Ni 0.9534 0.4534 0.5000
B 0.2500 0.7500 0.5000
B 0.5000 0.5000 0.0000

version x wins, 1529 meV per atom ahead of the next structure.

Version w
Below is crystalline CuNiB3 at its relaxed geometry, with properties calculated at the PBE level.

Computed properties:
* total moment: 0.000 μB per formula unit
* crystal system: cubic

Lattice parameters (Å, degrees): 3.7524 3.7524 3.7524 90.00 90.00 90.00
Fractional coordinates of all 5 atoms:
Cu 0.0000 0.0000 0.0000
Ni 0.5000 0.5000 0.5000
B 0.0000 0.0000 0.5000
B 0.0000 0.5000 0.0000
B 0.5000 0.0000 0.0000

Version x
Below is crystalline CuNiB3 at its relaxed geometry, with properties calculated at the PBE level.

Computed properties:
* total moment: 0.000 μB per formula unit
* crystal system: cubic

Lattice parameters (Å, degrees): 3.7500 3.7500 3.7500 90.00 90.00 90.00
Fractional coordinates of all 5 atoms:
Cu 0.0000 0.0000 0.0000
Ni 0.5000 0.5000 0.5000
B 0.0000 0.5000 0.5000
B 0.5000 0.0000 0.5000
B 0.5000 0.5000 0.0000

version x wins, 483 meV per atom ahead of the next structure.

Version w
Below is crystalline Cu2Ni2B at its relaxed geometry, with properties calculated at the PBE level.

Computed properties:
* total moment: 0.000 μB per formula unit
* crystal system: tetragonal

Lattice parameters (Å, degrees): 6.6796 6.6796 6.6796 153.65 153.65 37.61
Fractional coordinates of all 5 atoms:
Cu 0.2500 0.7500 0.5000
Cu 0.7500 0.2500 0.5000
Ni 0.0887 0.0887 0.0000
Ni 0.9113 0.9113 0.0000
B 0.5000 0.5000 0.0000

Version x
Below is crystalline Cu2Ni2B at its relaxed geometry, with properties calculated at the PBE level.

Computed properties:
* total moment: 0.000 μB per formula unit
* crystal system: tetragonal

Lattice parameters (Å, degrees): 5.1363 5.1363 4.1112 90.00 90.00 90.00
Fractional coordinates of all 10 atoms:
Cu 0.1672 0.3328 0.0000
Cu 0.3328 0.8328 0.0000
Cu 0.6672 0.1672 0.0000
Cu 0.8328 0.6672 0.0000
Ni 0.1580 0.6580 0.5000
Ni 0.3420 0.1580 0.5000
Ni 0.6580 0.8420 0.5000
Ni 0.8420 0.3420 0.5000
B 0.0000 0.0000 0.5000
B 0.5000 0.5000 0.5000

version x wins, 730 meV per atom ahead of the next structure.

Version w
Below is crystalline CuBPO2 at its relaxed geometry, with properties calculated at the PBE level.

Computed properties:
* total moment: 0.001 μB per formula unit
* crystal system: tetragonal

Lattice parameters (Å, degrees): 3.5380 3.5380 4.9277 90.00 90.00 90.00
Fractional coordinates of all 5 atoms:
Cu 0.0000 0.0000 0.0000
B 0.5000 0.5000 0.5000
P 0.0000 0.0000 0.5000
O 0.0000 0.5000 0.0000
O 0.5000 0.0000 0.0000

Version x
Below is crystalline CuBPO2 at its relaxed geometry, with properties calculated at the PBE level.

Computed properties:
* total moment: 0.001 μB per formula unit
* crystal system: tetragonal

Lattice parameters (Å, degrees): 3.1130 3.1130 7.1253 90.00 90.00 90.00
Fractional coordinates of all 5 atoms:
Cu 0.0000 0.0000 0.0000
B 0.5000 0.5000 0.5000
P 0.5000 0.5000 0.0000
O 0.0000 0.5000 0.5000
O 0.5000 0.0000 0.5000

version x wins, 1045 meV per atom ahead of the next structure.

Version w
Below is crystalline CuB3Os at its relaxed geometry, with properties calculated at the PBE level.

Computed properties:
* total moment: 0.000 μB per formula unit
* crystal system: cubic

Lattice parameters (Å, degrees): 4.0691 4.0691 4.0691 90.00 90.00 90.00
Fractional coordinates of all 5 atoms:
Cu 0.0000 0.0000 0.0000
B 0.0000 0.5000 0.5000
B 0.5000 0.0000 0.5000
B 0.5000 0.5000 0.0000
Os 0.5000 0.5000 0.5000

Version x
Below is crystalline CuB3Os at its relaxed geometry, with properties calculated at the PBE level.

Computed properties:
* total moment: 0.000 μB per formula unit
* crystal system: cubic

Lattice parameters (Å, degrees): 3.7375 3.7375 3.7375 90.00 90.00 90.00
Fractional coordinates of all 5 atoms:
Cu 0.0000 0.0000 0.0000
B 0.0000 0.0000 0.5000
B 0.0000 0.5000 0.0000
B 0.5000 0.0000 0.0000
Os 0.5000 0.5000 0.5000

version w wins, 788 meV per atom ahead of the next structure.

Version w
Below is crystalline CuBPOsS at its relaxed geometry, with properties calculated at the PBE level.

Computed properties:
* total moment: 0.000 μB per formula unit
* crystal system: triclinic

Lattice parameters (Å, degrees): 3.0268 4.2296 7.4285 87.05 78.50 69.12
Fractional coordinates of all 5 atoms:
Cu 0.0000 0.0000 0.0000
B 0.7679 0.5447 0.9151
P 0.2941 0.1473 0.2640
Os 0.6178 0.5645 0.2024
S 0.3136 0.6046 0.7609

Version x
Below is crystalline CuBPOsS at its relaxed geometry, with properties calculated at the PBE level.

Computed properties:
* total moment: 0.000 μB per formula unit
* crystal system: triclinic

Lattice parameters (Å, degrees): 3.0667 4.0617 6.0211 77.65 79.98 70.73
Fractional coordinates of all 5 atoms:
Cu 0.0000 0.0000 0.0000
B 0.4719 0.6461 0.5982
P 0.3439 0.0655 0.3748
Os 0.6817 0.5053 0.2613
S 0.9333 0.5629 0.7992

Version y
Below is crystalline CuBPOsS at its relaxed geometry, with properties calculated at the PBE level.

Computed properties:
* total moment: 0.000 μB per formula unit
* crystal system: monoclinic

Lattice parameters (Å, degrees): 4.0240 4.0240 6.3136 100.06 100.06 44.76
Fractional coordinates of all 5 atoms:
Cu 0.0000 0.0000 0.0000
B 0.4808 0.4808 0.3853
P 0.9384 0.9384 0.6323
Os 0.1997 0.1997 0.4657
S 0.3119 0.3119 0.1206

Version z
Below is crystalline CuBPOsS at its relaxed geometry, with properties calculated at the PBE level.

Computed properties:
* total moment: 0.000 μB per formula unit
* crystal system: monoclinic

Lattice parameters (Å, degrees): 4.3006 4.3006 7.5621 115.75 115.75 39.90
Fractional coordinates of all 5 atoms:
Cu 0.0000 0.0000 0.0000
B 0.1569 0.1569 0.5770
P 0.2802 0.2802 0.3108
Os 0.5822 0.5822 0.3563
S 0.2415 0.2415 0.8446

version w wins, 14 meV per atom ahead of the next structure.

Version w
Below is crystalline CuBPOsS at its relaxed geometry, with properties calculated at the PBE level.

Computed properties:
* total moment: 0.000 μB per formula unit
* crystal system: orthorhombic

Lattice parameters (Å, degrees): 3.5568 7.3690 7.3690 22.97 90.00 90.00
Fractional coordinates of all 5 atoms:
Cu 0.0000 0.0000 0.0000
B 0.5000 0.3150 0.3150
P 0.0000 0.6279 0.6279
Os 0.5000 0.1769 0.1769
S 0.5000 0.8934 0.8934

Version x
Below is crystalline CuBPOsS at its relaxed geometry, with properties calculated at the PBE level.

Computed properties:
* total moment: 0.197 μB per formula unit
* crystal system: monoclinic

Lattice parameters (Å, degrees): 5.6555 5.6555 6.8362 126.37 126.37 30.44
Fractional coordinates of all 5 atoms:
Cu 0.0000 0.0000 0.0000
B 0.3025 0.3025 0.8156
P 0.2703 0.2703 0.0554
Os 0.7467 0.7467 0.2690
S 0.7515 0.7515 0.6139

Version y
Below is crystalline CuBPOsS at its relaxed geometry, with properties calculated at the PBE level.

Computed properties:
* total moment: 0.000 μB per formula unit
* crystal system: monoclinic

Lattice parameters (Å, degrees): 4.0361 4.0361 6.8926 112.52 112.52 45.19
Fractional coordinates of all 5 atoms:
Cu 0.0000 0.0000 0.0000
B 0.6047 0.6047 0.4870
P 0.2896 0.2896 0.7473
Os 0.9460 0.9460 0.5906
S 0.6667 0.6667 0.2555

version w wins, 38 meV per atom ahead of the next structure.

Version w
Below is crystalline Cu2BP at its relaxed geometry, with properties calculated at the PBE level.

Computed properties:
* total moment: 0.000 μB per formula unit
* crystal system: cubic

Lattice parameters (Å, degrees): 4.0358 4.0358 4.0358 60.00 60.00 60.00
Fractional coordinates of all 4 atoms:
Cu 0.2500 0.2500 0.2500
Cu 0.7500 0.7500 0.7500
B 0.0000 0.0000 0.0000
P 0.5000 0.5000 0.5000

Version x
Below is crystalline Cu2BP at its relaxed geometry, with properties calculated at the PBE level.

Computed properties:
* total moment: 0.000 μB per formula unit
* crystal system: tetragonal

Lattice parameters (Å, degrees): 7.7077 7.7077 7.7077 152.79 152.79 38.86
Fractional coordinates of all 8 atoms:
Cu 0.1008 0.6250 0.9758
Cu 0.3750 0.3508 0.4758
Cu 0.6492 0.1250 0.0242
Cu 0.8750 0.8992 0.5242
B 0.0000 0.0000 0.0000
B 0.7500 0.2500 0.5000
P 0.2500 0.7500 0.5000
P 0.5000 0.5000 0.0000

version x wins, 262 meV per atom ahead of the next structure.

Version w
Below is crystalline CuBPb at its relaxed geometry, with properties calculated at the PBE level.

Computed properties:
* total moment: 0.000 μB per formula unit
* crystal system: orthorhombic

Lattice parameters (Å, degrees): 6.1835 6.1835 6.1835 144.67 123.35 68.55
Fractional coordinates of all 6 atoms:
Cu 0.4285 0.1785 0.2500
Cu 0.5715 0.8215 0.7500
B 0.3637 0.6137 0.7500
B 0.6363 0.3863 0.2500
Pb 0.1587 0.9087 0.2500
Pb 0.8413 0.0913 0.7500

Version x
Below is crystalline CuBPb at its relaxed geometry, with properties calculated at the PBE level.

Computed properties:
* total moment: 0.000 μB per formula unit
* crystal system: triclinic

Lattice parameters (Å, degrees): 3.1892 4.0222 8.1248 83.72 86.20 89.92
Fractional coordinates of all 6 atoms:
Cu 0.0000 0.0000 0.0000
Cu 0.4713 0.7522 0.2176
B 0.4834 0.2917 0.1147
B 0.9872 0.4616 0.1017
Pb 0.0489 0.1750 0.4379
Pb 0.4070 0.5760 0.7776

version x wins, 330 meV per atom ahead of the next structure.

Version w
Below is crystalline CuBPb at its relaxed geometry, with properties calculated at the PBE level.

Computed properties:
* total moment: 0.000 μB per formula unit
* crystal system: tetragonal

Lattice parameters (Å, degrees): 3.1307 3.1307 10.1852 90.00 90.00 90.00
Fractional coordinates of all 6 atoms:
Cu 0.2500 0.2500 0.1388
Cu 0.7500 0.7500 0.8612
B 0.2500 0.7500 0.0000
B 0.7500 0.2500 0.0000
Pb 0.2500 0.2500 0.6589
Pb 0.7500 0.7500 0.3411

Version x
Below is crystalline CuBPb at its relaxed geometry, with properties calculated at the PBE level.

Computed properties:
* total moment: 0.000 μB per formula unit
* crystal system: triclinic

Lattice parameters (Å, degrees): 3.2443 3.9096 8.7573 95.32 100.53 90.07
Fractional coordinates of all 6 atoms:
Cu 0.0000 0.0000 0.0000
Cu 0.3942 0.6959 0.7901
B 0.2497 0.4976 0.0015
B 0.7522 0.4974 0.0007
Pb 0.1469 0.5907 0.3138
Pb 0.8072 0.1525 0.6193

Version y
Below is crystalline CuBPb at its relaxed geometry, with properties calculated at the PBE level.

Computed properties:
* total moment: 0.000 μB per formula unit
* crystal system: hexagonal

Lattice parameters (Å, degrees): 4.0282 4.0282 7.4621 90.00 90.00 120.00
Fractional coordinates of all 6 atoms:
Cu 0.0000 0.0000 0.0000
Cu 0.0000 0.0000 0.5000
B 0.3333 0.6667 0.2500
B 0.6667 0.3333 0.7500
Pb 0.3333 0.6667 0.7500
Pb 0.6667 0.3333 0.2500

version x wins, 259 meV per atom ahead of the next structure.

Version w
Below is crystalline CuBPb at its relaxed geometry, with properties calculated at the PBE level.

Computed properties:
* total moment: 0.000 μB per formula unit
* crystal system: triclinic

Lattice parameters (Å, degrees): 3.1299 3.9085 9.6863 83.70 81.85 66.73
Fractional coordinates of all 6 atoms:
Cu 0.0000 0.0000 0.0000
Cu 0.2312 0.3758 0.1808
B 0.2936 0.4444 0.9605
B 0.7216 0.5693 0.9839
Pb 0.4015 0.4412 0.6859
Pb 0.8623 0.9296 0.3775

Version x
Below is crystalline CuBPb at its relaxed geometry, with properties calculated at the PBE level.

Computed properties:
* total moment: 0.000 μB per formula unit
* crystal system: cubic

Lattice parameters (Å, degrees): 4.2909 4.2909 4.2909 60.00 60.00 60.00
Fractional coordinates of all 3 atoms:
Cu 0.0000 0.0000 0.0000
B 0.5000 0.5000 0.5000
Pb 0.2500 0.2500 0.2500

version w wins, 1022 meV per atom ahead of the next structure.